Below is a relaxed structure of RbSmInTe3, with properties calculated at the PBE-GGA level.

Unit cell a=9.8923 b=4.6253 c=12.2453 alpha=90.00 beta=108.31 gamma=90.00
Space group P2_1/m (No. 11)
Inequivalent atoms, fractional coordinates:
1 Rb 0.1972 0.2500 0.1989 [2 per cell]
2 Sm 0.3376 0.7500 0.8758 [2 per cell]
3 In 0.0551 0.2500 0.6236 [2 per cell]
4 Te 0.1150 0.2500 0.8751 [2 per cell]
5 Te 0.2301 0.7500 0.5946 [2 per cell]
6 Te 0.4542 0.7500 0.1434 [2 per cell]

Results
V in Å³ per atom: 44.326
ΔE_f (raw) in eV per formula unit: -5.6